NdDy2ScS6: optimized geometry, PBE.

Geometry as extended XYZ:
```
10
Lattice="-4.8835 -3.2551 -3.5889 -3.0437 -5.5877 2.6153 -6.9147 0.5954 2.2750" Properties=species:S:1:pos:R:3 pbc="T T T"
Nd -10.3504 -6.8330 0.5008
Dy -7.1621 -4.3385 0.4930
Dy -6.7361 0.4471 2.1664
Sc -2.8122 -2.8065 -0.2212
S -9.0998 -2.5974 -0.4815
S -5.6335 -5.8006 2.2183
S -5.2922 -3.0272 -1.0022
S -8.0948 -6.2328 -1.2372
S -7.0982 -2.2231 2.2978
S -9.3529 -4.8234 2.1365
```

Values from the calculation:
E_form (uncorrected), eV per atom: -1.986

=====

ZrGaOs: optimized geometry, PBE.

Geometry as extended XYZ:
```
18
Lattice="3.4063 0.0000 0.0000 0.0000 7.0981 0.0000 0.0000 0.0000 12.5529" Properties=species:S:1:pos:R:3 pbc="T T T"
Os 1.7032 5.7824 3.1382
Os 1.7032 1.3156 9.4147
Os 1.7032 4.0663 7.7679
Os 1.7032 3.0318 4.7850
Os 1.7032 3.0318 1.4915
Os 1.7032 4.0663 11.0614
Ga 1.7032 0.3848 1.1664
Ga 1.7032 6.7133 7.4428
Ga 0.0000 3.9507 3.1382
Ga 1.7032 0.3848 5.1101
Ga 0.0000 3.1474 9.4147
Ga 1.7032 6.7133 11.3866
Zr 0.0000 5.2306 5.6988
Zr 0.0000 5.2306 0.5777
Zr 0.0000 1.8675 6.8541
Zr 0.0000 5.9571 9.4147
Zr 0.0000 1.1410 3.1382
Zr 0.0000 1.8675 11.9752
```

Values from the calculation:
DFT formation energy, eV per atom: -0.462

=====

KAsIN2: optimized geometry, PBE.

Geometry as extended XYZ:
```
5
Lattice="5.1811 0.0000 0.0000 0.0000 5.1811 0.0000 0.0000 0.0000 7.0028" Properties=species:S:1:pos:R:3 pbc="T T T"
As 2.5906 2.5906 3.5014
K 0.0000 0.0000 0.0000
N 2.5906 0.0000 0.0000
N 0.0000 2.5906 0.0000
I 0.0000 0.0000 3.5014
```

Values from the calculation:
E_form (uncorrected), eV per atom: 2.066
Relative energy among the computed polymorphs, eV/f.u.: 5.31

=====

For each record above, in turn, the calculated final energy values are -6.493, -8.063, -2.723 eV/atom.